w:
Entry from the Alexandria database: a relaxed structure of Ac2Te3Au (PBE-GGA).

Values from the calculation:
**Density of states at the Fermi level**: 0.63 states/eV/atom
**Spin magnetization**: 0.00 μB per formula unit

a b c (Å): 13.470 4.668 12.893
angles (deg): 90.00 90.00 90.00
Positions (direct):
Ac 0.017 0.250 0.180
Ac 0.201 0.250 0.492
Ac 0.299 0.750 0.992
Ac 0.483 0.750 0.680
Ac 0.517 0.250 0.320
Ac 0.701 0.250 0.008
Ac 0.799 0.750 0.508
Ac 0.983 0.750 0.820
Te 0.044 0.750 0.382
Te 0.122 0.250 0.941
Te 0.204 0.750 0.693
Te 0.296 0.250 0.193
Te 0.378 0.750 0.441
Te 0.456 0.250 0.882
Te 0.544 0.750 0.118
Te 0.622 0.250 0.559
Te 0.704 0.750 0.807
Te 0.796 0.250 0.307
Te 0.878 0.750 0.059
Te 0.956 0.250 0.618
Au 0.179 0.750 0.208
Au 0.321 0.250 0.708
Au 0.679 0.750 0.292
Au 0.821 0.250 0.792

x:
Entry from the Alexandria database: a relaxed structure of Ac2Te3Au (PBE-GGA).

Values from the calculation:
**Density of states at the Fermi level**: 0.25 states/eV/atom
**Spin magnetization**: 0.00 μB per formula unit

a b c (Å): 9.924 9.924 9.924
angles (deg): 154.63 149.47 40.09
Positions (direct):
Ac 0.140 0.140 0.000
Ac 0.860 0.860 0.000
Te 0.000 0.500 0.500
Te 0.321 0.321 0.000
Te 0.679 0.679 0.000
Au 0.500 0.500 0.000

Looking at the structures above, w is most stable, and the difference to the next one is 124 meV/atom.